# 1
Here is a geometry-optimized Pm2Zn4InGa3 structure from Alexandria. Energies are from PBE-GGA.

Summary:
* formation energy from the elements: -0.44 eV/atom
* total moment: 0.0000 μB per atom
* calculated density: 7.3 g cm⁻³
* crystal system: tetragonal

```
Pm2Zn4InGa3
1.0
4.276 0.000 0.000
0.000 4.276 0.000
0.000 0.000 10.835
Ga Zn Pm In
3 4 2 1
direct
0.500 0.000 0.870 Ga
0.000 0.500 0.130 Ga
0.000 0.000 0.500 Ga
0.500 0.500 0.000 Zn
0.000 0.500 0.352 Zn
0.500 0.000 0.648 Zn
0.000 0.000 0.000 Zn
0.500 0.000 0.241 Pm
0.000 0.500 0.759 Pm
0.500 0.500 0.500 In
```

***

# 2
Here is a geometry-optimized NaAgGeIr structure from Alexandria. Energies are from PBE-GGA.

Summary:
* formation energy from the elements: -0.13 eV/atom
* total moment: 0.0000 μB per atom
* calculated density: 7.8 g cm⁻³
* crystal system: tetragonal

```
NaAgGeIr
1.0
-2.452 0.795 3.086
-2.763 -2.471 -1.558
4.108 -7.941 5.308
Ag Na Ir Ge
2 2 2 2
direct
0.750 0.250 0.500 Ag
0.250 0.750 0.500 Ag
0.750 0.750 0.256 Na
0.250 0.250 0.744 Na
0.750 0.250 0.000 Ir
0.250 0.750 0.000 Ir
0.750 0.750 0.860 Ge
0.250 0.250 0.140 Ge
```

***

# 3
Here is a geometry-optimized BaTaTl3 structure from Alexandria. Energies are from PBE-GGA.

Summary:
* formation energy from the elements: 0.12 eV/atom
* total moment: 0.0000 μB per atom
* calculated density: 9.2 g cm⁻³
* crystal system: cubic

```
BaTaTl3
1.0
-0.936 1.076 5.331
-0.302 -5.411 1.039
5.430 -0.116 0.977
Tl Ba Ta
3 1 1
direct
0.500 0.000 0.000 Tl
0.000 0.500 0.000 Tl
0.000 0.000 0.500 Tl
0.500 0.500 0.500 Ba
0.000 0.000 0.000 Ta
```

***

# 4
Here is a geometry-optimized Nb6NiMo5 structure from Alexandria. Energies are from PBE-GGA.

Summary:
* formation energy from the elements: -0.11 eV/atom
* total moment: 0.0000 μB per atom
* calculated density: 9.1 g cm⁻³
* crystal system: orthorhombic

```
Nb6NiMo5
1.0
4.389 -0.003 -1.230
-3.286 6.363 -3.301
-0.172 -0.927 7.828
Nb Mo Ni
6 5 1
direct
0.749 0.916 0.582 Nb
0.251 0.418 0.084 Nb
0.749 0.582 0.916 Nb
0.248 0.748 0.748 Nb
0.752 0.252 0.252 Nb
0.251 0.084 0.418 Nb
0.500 0.837 0.163 Mo
0.000 0.667 0.333 Mo
0.500 0.163 0.837 Mo
0.000 0.333 0.667 Mo
0.500 0.500 0.500 Mo
0.000 0.000 0.000 Ni
```

***

# 5
Here is a geometry-optimized ScAsP2 structure from Alexandria. Energies are from PBE-GGA.

Summary:
* formation energy from the elements: -0.57 eV/atom
* total moment: 0.0000 μB per atom
* calculated density: 3.9 g cm⁻³
* crystal system: tetragonal

```
ScAsP2
1.0
-1.930 3.128 -0.701
-2.013 -1.819 -2.577
-3.654 -1.394 3.838
Sc P As
1 2 1
direct
0.000 0.000 0.348 Sc
0.000 0.000 0.858 P
0.500 0.500 0.363 P
0.500 0.500 0.931 As
```

***

# 6
Here is a geometry-optimized Dy4Ho8Sc structure from Alexandria. Energies are from PBE-GGA.

Summary:
* formation energy from the elements: 0.19 eV/atom
* total moment: 0.0001 μB per atom
* calculated density: 8.2 g cm⁻³
* crystal system: trigonal

```
Dy4Ho8Sc
1.0
6.509 0.000 -3.512
-4.202 6.087 0.000
0.923 0.638 9.500
Dy Ho Sc
4 8 1
direct
0.500 0.500 0.000 Dy
0.500 0.000 0.000 Dy
0.000 0.000 0.000 Dy
0.000 0.500 0.000 Dy
0.557 0.779 0.336 Ho
0.508 0.254 0.324 Ho
0.070 0.254 0.324 Ho
0.443 0.221 0.664 Ho
0.930 0.746 0.676 Ho
0.070 0.816 0.324 Ho
0.930 0.184 0.676 Ho
0.492 0.746 0.676 Ho
0.000 0.500 0.500 Sc
```

***

# 7
Here is a geometry-optimized Ti2CoNi6 structure from Alexandria. Energies are from PBE-GGA.

Summary:
* formation energy from the elements: -0.18 eV/atom
* total moment: 0.2151 μB per atom
* calculated density: 7.6 g cm⁻³
* crystal system: monoclinic

```
Ti2CoNi6
1.0
5.596 0.355 0.205
0.367 4.837 0.068
0.367 2.469 4.160
Ni Ti Co
6 2 1
direct
0.693 0.178 0.665 Ni
0.368 0.815 0.815 Ni
0.693 0.665 0.178 Ni
0.307 0.335 0.822 Ni
0.632 0.185 0.185 Ni
0.307 0.822 0.335 Ni
0.868 0.669 0.669 Ti
0.132 0.331 0.331 Ti
0.000 0.000 0.000 Co
```

***

# 8
Here is a geometry-optimized SmLu2Mg structure from Alexandria. Energies are from PBE-GGA.

Summary:
* formation energy from the elements: 0.03 eV/atom
* total moment: 0.0000 μB per atom
* calculated density: 7.5 g cm⁻³
* crystal system: tetragonal

```
SmLu2Mg
1.0
4.931 0.000 0.000
0.000 4.850 0.000
0.000 0.000 4.850
Lu Mg Sm
2 1 1
direct
0.000 0.500 0.000 Lu
0.000 0.000 0.500 Lu
0.500 0.000 0.000 Mg
0.500 0.500 0.500 Sm
```

***

# 9
Here is a geometry-optimized SrTaHg2 structure from Alexandria. Energies are from PBE-GGA.

Summary:
* formation energy from the elements: 0.39 eV/atom
* total moment: 0.0005 μB per atom
* calculated density: 11.6 g cm⁻³
* crystal system: monoclinic

```
SrTaHg2
1.0
5.971 -0.002 0.016
5.139 3.040 0.016
1.507 0.412 5.304
Hg Sr Ta
2 1 1
direct
0.746 0.746 0.679 Hg
0.999 0.999 0.091 Hg
0.498 0.498 0.577 Sr
0.258 0.258 0.153 Ta
```

***

# 10
Here is a geometry-optimized Li3Rh structure from Alexandria. Energies are from PBE-GGA.

Summary:
* formation energy from the elements: -0.10 eV/atom
* total moment: 0.0630 μB per atom
* calculated density: 3.6 g cm⁻³
* crystal system: monoclinic

```
Li3Rh
1.0
4.382 0.000 0.000
0.000 2.607 -0.002
0.000 0.729 5.000
Rh Li
1 3
direct
0.500 0.250 0.250 Rh
0.500 0.750 0.750 Li
0.000 0.947 0.026 Li
0.000 0.553 0.474 Li
```

***

# 11
Here is a geometry-optimized ZnGeAsIrAu structure from Alexandria. Energies are from PBE-GGA.

Summary:
* formation energy from the elements: -0.12 eV/atom
* total moment: 0.0000 μB per atom
* calculated density: 10.6 g cm⁻³
* crystal system: monoclinic

```
ZnGeAsIrAu
1.0
3.568 -0.007 -0.001
-1.776 4.275 -0.005
-0.002 -1.066 6.187
Ir As Ge Au Zn
1 1 1 1 1
direct
0.265 0.809 0.967 Ir
0.667 0.612 0.694 As
0.980 0.241 0.034 Ge
0.762 0.802 0.313 Au
0.379 0.037 0.600 Zn
```

***

# 12
Here is a geometry-optimized Pa2Ga3Ir4 structure from Alexandria. Energies are from PBE-GGA.

Summary:
* formation energy from the elements: -0.75 eV/atom
* total moment: 0.0000 μB per atom
* calculated density: 15.0 g cm⁻³
* crystal system: orthorhombic

```
Pa2Ga3Ir4
1.0
5.668 0.000 0.000
0.000 7.120 0.000
-2.834 0.000 7.900
Ga Pa Ir
6 4 8
direct
0.000 0.000 0.000 Ga
0.982 0.250 0.465 Ga
0.518 0.750 0.535 Ga
0.018 0.750 0.535 Ga
0.500 0.500 0.000 Ga
0.482 0.250 0.465 Ga
0.605 0.906 0.209 Pa
0.895 0.406 0.791 Pa
0.105 0.594 0.209 Pa
0.395 0.094 0.791 Pa
0.168 0.963 0.336 Ir
0.320 0.250 0.140 Ir
0.680 0.750 0.860 Ir
0.180 0.750 0.860 Ir
0.332 0.463 0.664 Ir
0.668 0.537 0.336 Ir
0.820 0.250 0.140 Ir
0.832 0.037 0.664 Ir
```

***

# 13
Here is a geometry-optimized SrPu2ThAs4 structure from Alexandria. Energies are from PBE-GGA.

Summary:
* formation energy from the elements: -1.15 eV/atom
* total moment: 1.2417 μB per atom
* calculated density: 8.5 g cm⁻³
* crystal system: monoclinic

```
SrPu2ThAs4
1.0
4.250 0.000 0.000
0.000 7.331 -0.141
0.000 2.583 6.909
As Pu Sr Th
4 2 1 1
direct
0.500 0.239 0.746 As
0.500 0.761 0.254 As
0.000 0.230 0.267 As
0.000 0.770 0.733 As
0.000 0.000 0.000 Pu
0.500 0.000 0.500 Pu
0.500 0.500 0.000 Sr
0.000 0.500 0.500 Th
```

***

# 14
Here is a geometry-optimized Sr4Cd2Ag structure from Alexandria. Energies are from PBE-GGA.

Summary:
* formation energy from the elements: -0.21 eV/atom
* total moment: 0.0000 μB per atom
* calculated density: 4.4 g cm⁻³
* crystal system: tetragonal

```
Sr4Cd2Ag
1.0
6.561 0.002 -2.307
-3.270 5.675 -2.340
0.001 -0.002 6.955
Cd Sr Ag
2 4 1
direct
0.500 0.000 0.500 Cd
0.500 0.500 0.000 Cd
0.500 0.500 0.500 Sr
0.500 0.000 0.000 Sr
0.000 0.000 0.500 Sr
0.000 0.500 0.000 Sr
0.000 0.000 0.000 Ag
```

***

# 15
Here is a geometry-optimized Pr4Bi2SbP structure from Alexandria. Energies are from PBE-GGA.

Summary:
* total moment: 0.0000 μB per atom
* formation energy (no corrections): -1.12 eV/atom
* calculated density: 7.3 g cm⁻³
* crystal system: monoclinic

```
Pr4Bi2SbP
1.0
4.487 0.000 0.000
0.000 7.847 -0.182
0.000 2.736 7.314
Pr P Bi Sb
4 1 2 1
direct
0.000 0.736 0.743 Pr
0.500 0.271 0.732 Pr
0.000 0.264 0.257 Pr
0.500 0.729 0.268 Pr
0.000 0.500 0.500 P
0.500 0.000 0.500 Bi
0.000 0.000 0.000 Bi
0.500 0.500 0.000 Sb
```

***

# 16
Here is a geometry-optimized TlCuSn structure from Alexandria. Energies are from PBE-GGA.

Summary:
* formation energy from the elements: 0.18 eV/atom
* total moment: 0.0000 μB per atom
* calculated density: 9.2 g cm⁻³
* crystal system: tetragonal

```
TlCuSn
1.0
3.383 0.000 0.000
0.000 3.383 0.000
-1.692 -1.692 6.104
Cu Sn Tl
1 1 1
direct
0.682 0.682 0.365 Cu
0.301 0.301 0.602 Sn
0.017 0.017 0.034 Tl
```

***

# 17
Here is a geometry-optimized Nd7Cu2Sn2 structure from Alexandria. Energies are from PBE-GGA.

Summary:
* formation energy from the elements: -0.15 eV/atom
* total moment: 0.0000 μB per atom
* calculated density: 6.7 g cm⁻³
* crystal system: orthorhombic

```
Nd7Cu2Sn2
1.0
-5.079 0.277 5.013
2.897 -5.557 3.241
5.512 4.060 2.036
Nd Cu Sn
7 2 2
direct
0.000 0.738 0.500 Nd
0.500 0.262 0.000 Nd
0.000 0.262 0.500 Nd
0.500 0.738 0.000 Nd
0.500 0.764 0.500 Nd
0.000 0.000 0.000 Nd
0.500 0.236 0.500 Nd
0.714 0.000 0.286 Cu
0.286 0.000 0.714 Cu
0.825 0.500 0.825 Sn
0.175 0.500 0.175 Sn
```

***

# 18
Here is a geometry-optimized BeZnCrC2 structure from Alexandria. Energies are from PBE-GGA.

Summary:
* formation energy from the elements: 1.90 eV/atom
* total moment: 0.0001 μB per atom
* calculated density: 4.8 g cm⁻³
* crystal system: tetragonal

```
BeZnCrC2
1.0
3.520 0.000 0.000
0.000 4.192 0.000
0.000 0.000 3.520
Zn Be Cr C
1 1 1 2
direct
0.000 0.500 0.000 Zn
0.000 0.000 0.000 Be
0.500 0.500 0.500 Cr
0.000 0.000 0.500 C
0.500 0.000 0.000 C
```

***

# 19
Here is a geometry-optimized TeAu2Cl6 structure from Alexandria. Energies are from PBE-GGA.

Summary:
* total moment: 0.0000 μB per atom
* formation energy (no corrections): -0.33 eV/atom
* calculated density: 3.9 g cm⁻³
* crystal system: monoclinic

```
TeAu2Cl6
1.0
8.615 -1.131 -1.095
1.275 8.357 -1.364
1.275 -1.092 8.397
Te Cl Au
2 12 4
direct
0.250 0.123 0.877 Te
0.750 0.877 0.123 Te
0.639 0.294 0.368 Cl
0.861 0.632 0.706 Cl
0.550 0.095 0.823 Cl
0.209 0.090 0.598 Cl
0.450 0.905 0.177 Cl
0.139 0.368 0.294 Cl
0.950 0.177 0.905 Cl
0.050 0.823 0.095 Cl
0.291 0.402 0.910 Cl
0.709 0.598 0.090 Cl
0.791 0.910 0.402 Cl
0.361 0.706 0.632 Cl
0.809 0.223 0.152 Au
0.691 0.848 0.777 Au
0.191 0.777 0.848 Au
0.309 0.152 0.223 Au
```

***

# 20
Here is a geometry-optimized LiEr2PaSe4 structure from Alexandria. Energies are from PBE-GGA.

Summary:
* total moment: 0.1402 μB per atom
* formation energy (no corrections): -1.54 eV/atom
* calculated density: 8.0 g cm⁻³
* crystal system: monoclinic

```
LiEr2PaSe4
1.0
3.984 0.000 0.000
0.000 6.935 -0.150
0.000 2.431 6.646
Se Er Li Pa
4 2 1 1
direct
0.500 0.746 0.258 Se
0.000 0.250 0.261 Se
0.500 0.254 0.742 Se
0.000 0.750 0.739 Se
0.500 0.000 0.500 Er
0.000 0.000 0.000 Er
0.000 0.500 0.500 Li
0.500 0.500 0.000 Pa
```